Record 1
CePr2Ge: optimized geometry, PBE.

abc: 4.870 4.870 4.600
angles: 90.00 90.00 90.00
Positions (direct):
Ce  0.000  0.000  0.000
Pr  0.000  0.500  0.500
Pr  0.500  0.000  0.500
Ge  0.500  0.500  0.000

Formation energy from the elements   -324.8 meV per atom
Energy above the most stable polymorph in this dataset   0.0 meV/atom
Crystal system   tetragonal



Record 2
Co2AgN: optimized geometry, PBE.

abc: 5.074 5.074 5.074
angles: 109.94 109.94 108.54
Positions (direct):
Co  0.375  0.241  0.366
Co  0.759  0.125  0.134
Co  0.875  0.009  0.634
Co  0.991  0.625  0.866
Ag  0.250  0.750  0.500
Ag  0.500  0.500  0.000
N  0.000  0.000  0.000
N  0.750  0.250  0.500

E_form (uncorrected)   1.05 eV/f.u.
Crystal system   tetragonal



Repeat the second record exactly.
Co2AgN: optimized geometry, PBE.

abc: 5.074 5.074 5.074
angles: 109.94 109.94 108.54
Positions (direct):
Co  0.375  0.241  0.366
Co  0.759  0.125  0.134
Co  0.875  0.009  0.634
Co  0.991  0.625  0.866
Ag  0.250  0.750  0.500
Ag  0.500  0.500  0.000
N  0.000  0.000  0.000
N  0.750  0.250  0.500

E_form (uncorrected)   1.05 eV/f.u.
Crystal system   tetragonal